1.
# AcErIr | the Open Quantum Materials Database | PBE | relaxed
# Energy relative to the lowest polymorph listed for this composition (kJ/mol of atoms): 27.3
# V (Å³/f.u.): 84
data_AcErIr
_cell_length_a 6.9650
_cell_length_b 6.9650
_cell_length_c 6.9650
_cell_angle_alpha 90.00
_cell_angle_beta 90.00
_cell_angle_gamma 90.00
_space_group_name_H-M_alt 'F -4 3 m'
_space_group_IT_number 216
_space_group_name_Hall 'F -4 2 3'
loop_
_atom_site_label
_atom_site_type_symbol
_atom_site_fract_x
_atom_site_fract_y
_atom_site_fract_z
_atom_site_occupancy
Ac1 Ac 0.0000 0.0000 0.0000 1
Er1 Er 0.2500 0.2500 0.7500 1
Ir1 Ir 0.2500 0.2500 0.2500 1

2.
# LiAcEr | the Open Quantum Materials Database | PBE | relaxed
# Energy relative to the lowest polymorph listed for this composition (kJ/mol of atoms): 41.9
# V (Å³/f.u.): 109
data_LiAcEr
_cell_length_a 7.5854
_cell_length_b 7.5854
_cell_length_c 7.5854
_cell_angle_alpha 90.00
_cell_angle_beta 90.00
_cell_angle_gamma 90.00
_space_group_name_H-M_alt 'F -4 3 m'
_space_group_IT_number 216
_space_group_name_Hall 'F -4 2 3'
loop_
_atom_site_label
_atom_site_type_symbol
_atom_site_fract_x
_atom_site_fract_y
_atom_site_fract_z
_atom_site_occupancy
Li1 Li 0.0000 0.0000 0.0000 1
Ac1 Ac 0.2500 0.2500 0.7500 1
Er1 Er 0.0000 0.0000 0.5000 1

3.
# LiAcEr | the Open Quantum Materials Database | PBE | relaxed
# Energy relative to the lowest polymorph listed for this composition (kJ/mol of atoms): 0.0
# V (Å³/f.u.): 103
data_LiAcEr
_cell_length_a 7.4424
_cell_length_b 7.4424
_cell_length_c 7.4424
_cell_angle_alpha 90.00
_cell_angle_beta 90.00
_cell_angle_gamma 90.00
_space_group_name_H-M_alt 'F -4 3 m'
_space_group_IT_number 216
_space_group_name_Hall 'F -4 2 3'
loop_
_atom_site_label
_atom_site_type_symbol
_atom_site_fract_x
_atom_site_fract_y
_atom_site_fract_z
_atom_site_occupancy
Li1 Li 0.0000 0.0000 0.0000 1
Ac1 Ac 0.2500 0.2500 0.7500 1
Er1 Er 0.2500 0.2500 0.2500 1

4.
# AcErMg | the Open Quantum Materials Database | PBE | relaxed
# Energy relative to the lowest polymorph listed for this composition (kJ/mol of atoms): 0.0
# V (Å³/f.u.): 115
data_AcErMg
_cell_length_a 7.7108
_cell_length_b 7.7108
_cell_length_c 7.7108
_cell_angle_alpha 90.00
_cell_angle_beta 90.00
_cell_angle_gamma 90.00
_space_group_name_H-M_alt 'F -4 3 m'
_space_group_IT_number 216
_space_group_name_Hall 'F -4 2 3'
loop_
_atom_site_label
_atom_site_type_symbol
_atom_site_fract_x
_atom_site_fract_y
_atom_site_fract_z
_atom_site_occupancy
Ac1 Ac 0.0000 0.0000 0.0000 1
Er1 Er 0.0000 0.0000 0.5000 1
Mg1 Mg 0.2500 0.2500 0.2500 1

5.
# AcErMg | the Open Quantum Materials Database | PBE | relaxed
# Energy relative to the lowest polymorph listed for this composition (kJ/mol of atoms): 36.5
# V (Å³/f.u.): 120
data_AcErMg
_cell_length_a 7.8250
_cell_length_b 7.8250
_cell_length_c 7.8250
_cell_angle_alpha 90.00
_cell_angle_beta 90.00
_cell_angle_gamma 90.00
_space_group_name_H-M_alt 'F -4 3 m'
_space_group_IT_number 216
_space_group_name_Hall 'F -4 2 3'
loop_
_atom_site_label
_atom_site_type_symbol
_atom_site_fract_x
_atom_site_fract_y
_atom_site_fract_z
_atom_site_occupancy
Ac1 Ac 0.0000 0.0000 0.0000 1
Er1 Er 0.2500 0.2500 0.7500 1
Mg1 Mg 0.2500 0.2500 0.2500 1

6.
# AcErNb | the Open Quantum Materials Database | PBE | relaxed
# Energy relative to the lowest polymorph listed for this composition (kJ/mol of atoms): 57.3
# V (Å³/f.u.): 101
data_AcErNb
_cell_length_a 7.3965
_cell_length_b 7.3965
_cell_length_c 7.3965
_cell_angle_alpha 90.00
_cell_angle_beta 90.00
_cell_angle_gamma 90.00
_space_group_name_H-M_alt 'F -4 3 m'
_space_group_IT_number 216
_space_group_name_Hall 'F -4 2 3'
loop_
_atom_site_label
_atom_site_type_symbol
_atom_site_fract_x
_atom_site_fract_y
_atom_site_fract_z
_atom_site_occupancy
Ac1 Ac 0.0000 0.0000 0.0000 1
Er1 Er 0.2500 0.2500 0.7500 1
Nb1 Nb 0.2500 0.2500 0.2500 1

7.
# AcErNb | the Open Quantum Materials Database | PBE | relaxed
# Energy relative to the lowest polymorph listed for this composition (kJ/mol of atoms): 0.0
# V (Å³/f.u.): 102
data_AcErNb
_cell_length_a 7.4113
_cell_length_b 7.4113
_cell_length_c 7.4113
_cell_angle_alpha 90.00
_cell_angle_beta 90.00
_cell_angle_gamma 90.00
_space_group_name_H-M_alt 'F -4 3 m'
_space_group_IT_number 216
_space_group_name_Hall 'F -4 2 3'
loop_
_atom_site_label
_atom_site_type_symbol
_atom_site_fract_x
_atom_site_fract_y
_atom_site_fract_z
_atom_site_occupancy
Ac1 Ac 0.0000 0.0000 0.0000 1
Er1 Er 0.0000 0.0000 0.5000 1
Nb1 Nb 0.2500 0.2500 0.2500 1

8.
# AcNdEr | the Open Quantum Materials Database | PBE | relaxed
# Energy relative to the lowest polymorph listed for this composition (kJ/mol of atoms): 0.0
# V (Å³/f.u.): 129
data_AcNdEr
_cell_length_a 8.0264
_cell_length_b 8.0264
_cell_length_c 8.0264
_cell_angle_alpha 90.00
_cell_angle_beta 90.00
_cell_angle_gamma 90.00
_space_group_name_H-M_alt 'F -4 3 m'
_space_group_IT_number 216
_space_group_name_Hall 'F -4 2 3'
loop_
_atom_site_label
_atom_site_type_symbol
_atom_site_fract_x
_atom_site_fract_y
_atom_site_fract_z
_atom_site_occupancy
Ac1 Ac 0.0000 0.0000 0.0000 1
Nd1 Nd 0.0000 0.0000 0.5000 1
Er1 Er 0.2500 0.2500 0.2500 1

9.
# AcErNi | the Open Quantum Materials Database | PBE | relaxed
# V (Å³/f.u.): 87
# Total energy (eV per atom): -4.783
data_AcErNi
_cell_length_a 7.0408
_cell_length_b 7.0408
_cell_length_c 7.0408
_cell_angle_alpha 90.00
_cell_angle_beta 90.00
_cell_angle_gamma 90.00
_space_group_name_H-M_alt 'F -4 3 m'
_space_group_IT_number 216
_space_group_name_Hall 'F -4 2 3'
loop_
_atom_site_label
_atom_site_type_symbol
_atom_site_fract_x
_atom_site_fract_y
_atom_site_fract_z
_atom_site_occupancy
Ac1 Ac 0.0000 0.0000 0.0000 1
Er1 Er 0.0000 0.0000 0.5000 1
Ni1 Ni 0.2500 0.2500 0.2500 1

10.
# AcErOs | the Open Quantum Materials Database | PBE | relaxed
# Energy relative to the lowest polymorph listed for this composition (kJ/mol of atoms): 33.1
# V (Å³/f.u.): 84
data_AcErOs
_cell_length_a 6.9559
_cell_length_b 6.9559
_cell_length_c 6.9559
_cell_angle_alpha 90.00
_cell_angle_beta 90.00
_cell_angle_gamma 90.00
_space_group_name_H-M_alt 'F -4 3 m'
_space_group_IT_number 216
_space_group_name_Hall 'F -4 2 3'
loop_
_atom_site_label
_atom_site_type_symbol
_atom_site_fract_x
_atom_site_fract_y
_atom_site_fract_z
_atom_site_occupancy
Ac1 Ac 0.0000 0.0000 0.0000 1
Er1 Er 0.2500 0.2500 0.7500 1
Os1 Os 0.2500 0.2500 0.2500 1

11.
# AcErOs | the Open Quantum Materials Database | PBE | relaxed
# Energy relative to the lowest polymorph listed for this composition (kJ/mol of atoms): 0.0
# V (Å³/f.u.): 82
data_AcErOs
_cell_length_a 6.8961
_cell_length_b 6.8961
_cell_length_c 6.8961
_cell_angle_alpha 90.00
_cell_angle_beta 90.00
_cell_angle_gamma 90.00
_space_group_name_H-M_alt 'F -4 3 m'
_space_group_IT_number 216
_space_group_name_Hall 'F -4 2 3'
loop_
_atom_site_label
_atom_site_type_symbol
_atom_site_fract_x
_atom_site_fract_y
_atom_site_fract_z
_atom_site_occupancy
Ac1 Ac 0.0000 0.0000 0.0000 1
Er1 Er 0.2500 0.2500 0.2500 1
Os1 Os 0.0000 0.0000 0.5000 1

12.
# AcErPa | the Open Quantum Materials Database | PBE | relaxed
# Energy relative to the lowest polymorph listed for this composition (kJ/mol of atoms): 0.0
# V (Å³/f.u.): 113
data_AcErPa
_cell_length_a 7.6763
_cell_length_b 7.6763
_cell_length_c 7.6763
_cell_angle_alpha 90.00
_cell_angle_beta 90.00
_cell_angle_gamma 90.00
_space_group_name_H-M_alt 'F -4 3 m'
_space_group_IT_number 216
_space_group_name_Hall 'F -4 2 3'
loop_
_atom_site_label
_atom_site_type_symbol
_atom_site_fract_x
_atom_site_fract_y
_atom_site_fract_z
_atom_site_occupancy
Ac1 Ac 0.0000 0.0000 0.0000 1
Er1 Er 0.2500 0.2500 0.2500 1
Pa1 Pa 0.0000 0.0000 0.5000 1

13.
# AcErPd | the Open Quantum Materials Database | PBE | relaxed
# V (Å³/f.u.): 94
# Total energy (eV per atom): -4.995
data_AcErPd
_cell_length_a 7.2111
_cell_length_b 7.2111
_cell_length_c 7.2111
_cell_angle_alpha 90.00
_cell_angle_beta 90.00
_cell_angle_gamma 90.00
_space_group_name_H-M_alt 'F -4 3 m'
_space_group_IT_number 216
_space_group_name_Hall 'F -4 2 3'
loop_
_atom_site_label
_atom_site_type_symbol
_atom_site_fract_x
_atom_site_fract_y
_atom_site_fract_z
_atom_site_occupancy
Ac1 Ac 0.0000 0.0000 0.0000 1
Er1 Er 0.0000 0.0000 0.5000 1
Pd1 Pd 0.2500 0.2500 0.2500 1

14.
# AcPmEr | the Open Quantum Materials Database | PBE | relaxed
# Energy relative to the lowest polymorph listed for this composition (kJ/mol of atoms): 0.0
# V (Å³/f.u.): 128
data_AcPmEr
_cell_length_a 8.0017
_cell_length_b 8.0017
_cell_length_c 8.0017
_cell_angle_alpha 90.00
_cell_angle_beta 90.00
_cell_angle_gamma 90.00
_space_group_name_H-M_alt 'F -4 3 m'
_space_group_IT_number 216
_space_group_name_Hall 'F -4 2 3'
loop_
_atom_site_label
_atom_site_type_symbol
_atom_site_fract_x
_atom_site_fract_y
_atom_site_fract_z
_atom_site_occupancy
Ac1 Ac 0.0000 0.0000 0.0000 1
Pm1 Pm 0.0000 0.0000 0.5000 1
Er1 Er 0.2500 0.2500 0.2500 1

15.
# AcErSb | the Open Quantum Materials Database | PBE | relaxed
# Energy relative to the lowest polymorph listed for this composition (kJ/mol of atoms): 0.0
# V (Å³/f.u.): 107
data_AcErSb
_cell_length_a 7.5262
_cell_length_b 7.5262
_cell_length_c 7.5262
_cell_angle_alpha 90.00
_cell_angle_beta 90.00
_cell_angle_gamma 90.00
_space_group_name_H-M_alt 'F -4 3 m'
_space_group_IT_number 216
_space_group_name_Hall 'F -4 2 3'
loop_
_atom_site_label
_atom_site_type_symbol
_atom_site_fract_x
_atom_site_fract_y
_atom_site_fract_z
_atom_site_occupancy
Ac1 Ac 0.0000 0.0000 0.0000 1
Er1 Er 0.0000 0.0000 0.5000 1
Sb1 Sb 0.2500 0.2500 0.7500 1

16.
# AcErSb | the Open Quantum Materials Database | PBE | relaxed
# Energy relative to the lowest polymorph listed for this composition (kJ/mol of atoms): 66.3
# V (Å³/f.u.): 120
data_AcErSb
_cell_length_a 7.8263
_cell_length_b 7.8263
_cell_length_c 7.8263
_cell_angle_alpha 90.00
_cell_angle_beta 90.00
_cell_angle_gamma 90.00
_space_group_name_H-M_alt 'F -4 3 m'
_space_group_IT_number 216
_space_group_name_Hall 'F -4 2 3'
loop_
_atom_site_label
_atom_site_type_symbol
_atom_site_fract_x
_atom_site_fract_y
_atom_site_fract_z
_atom_site_occupancy
Ac1 Ac 0.0000 0.0000 0.0000 1
Er1 Er 0.2500 0.2500 0.7500 1
Sb1 Sb 0.2500 0.2500 0.2500 1

17.
# AcErSc | the Open Quantum Materials Database | PBE | relaxed
# Energy relative to the lowest polymorph listed for this composition (kJ/mol of atoms): 25.0
# V (Å³/f.u.): 115
data_AcErSc
_cell_length_a 7.7281
_cell_length_b 7.7281
_cell_length_c 7.7281
_cell_angle_alpha 90.00
_cell_angle_beta 90.00
_cell_angle_gamma 90.00
_space_group_name_H-M_alt 'F -4 3 m'
_space_group_IT_number 216
_space_group_name_Hall 'F -4 2 3'
loop_
_atom_site_label
_atom_site_type_symbol
_atom_site_fract_x
_atom_site_fract_y
_atom_site_fract_z
_atom_site_occupancy
Ac1 Ac 0.0000 0.0000 0.0000 1
Er1 Er 0.2500 0.2500 0.7500 1
Sc1 Sc 0.2500 0.2500 0.2500 1

18.
# AcErSc | the Open Quantum Materials Database | PBE | relaxed
# Energy relative to the lowest polymorph listed for this composition (kJ/mol of atoms): 0.0
# V (Å³/f.u.): 114
data_AcErSc
_cell_length_a 7.7027
_cell_length_b 7.7027
_cell_length_c 7.7027
_cell_angle_alpha 90.00
_cell_angle_beta 90.00
_cell_angle_gamma 90.00
_space_group_name_H-M_alt 'F -4 3 m'
_space_group_IT_number 216
_space_group_name_Hall 'F -4 2 3'
loop_
_atom_site_label
_atom_site_type_symbol
_atom_site_fract_x
_atom_site_fract_y
_atom_site_fract_z
_atom_site_occupancy
Ac1 Ac 0.0000 0.0000 0.0000 1
Er1 Er 0.0000 0.0000 0.5000 1
Sc1 Sc 0.2500 0.2500 0.2500 1

19.
# AcEr3Se6 | the Open Quantum Materials Database | PBE | relaxed
# V (Å³/f.u.): 274
# Total energy (eV per atom): -5.795
data_AcEr3Se6
_cell_length_a 11.6388
_cell_length_b 4.1847
_cell_length_c 11.9319
_cell_angle_alpha 90.00
_cell_angle_beta 109.21
_cell_angle_gamma 90.00
_space_group_name_H-M_alt 'P 1 21/m 1'
_space_group_IT_number 11
loop_
_space_group_symop_operation_xyz
'x,y,z'
'-x,-y,-z'
'-x,y+1/2,-z'
'x,-y+1/2,z'
loop_
_atom_site_label
_atom_site_type_symbol
_atom_site_fract_x
_atom_site_fract_y
_atom_site_fract_z
_atom_site_occupancy
Ac1 Ac 0.0532 0.2500 0.1988 1
Er1 Er 0.1601 0.2500 0.5896 1
Er2 Er 0.3225 0.7500 0.0008 1
Er3 Er 0.4493 0.2500 0.3351 1
Se1 Se 0.0838 0.7500 0.4121 1
Se2 Se 0.1263 0.2500 0.9652 1
Se3 Se 0.2023 0.7500 0.7492 1
Se4 Se 0.2755 0.7500 0.2319 1
Se5 Se 0.3893 0.2500 0.5529 1
Se6 Se 0.4804 0.2500 0.1123 1

20.
# AcEr3Se | the Open Quantum Materials Database | PBE | relaxed
# V (Å³/f.u.): 164
# Total energy (eV per atom): -4.716
data_AcEr3Se
_cell_length_a 5.4746
_cell_length_b 5.4746
_cell_length_c 5.4746
_cell_angle_alpha 90.00
_cell_angle_beta 90.00
_cell_angle_gamma 90.00
_space_group_name_H-M_alt 'P m -3 m'
_space_group_IT_number 221
_space_group_name_Hall '-P 4 2 3'
loop_
_atom_site_label
_atom_site_type_symbol
_atom_site_fract_x
_atom_site_fract_y
_atom_site_fract_z
_atom_site_occupancy
Ac1 Ac 0.0000 0.0000 0.0000 1
Er1 Er 0.0000 0.5000 0.5000 1
Se1 Se 0.5000 0.5000 0.5000 1